(1)
## CuHgPb2 (PBE-GGA)

Data for a relaxed CuHgPb2 crystal.

Unit cell a=4.799 b=4.799 c=10.249 alpha=76.46 beta=76.46 gamma=90.00
Atoms (fractional coordinates):
Pb 0.600 0.125 0.250
Pb 0.150 0.625 0.250
Pb 0.375 0.400 0.750
Pb 0.875 0.850 0.750
Hg 0.000 0.000 0.000
Hg 0.750 0.250 0.500
Cu 0.500 0.500 0.000
Cu 0.250 0.750 0.500

Energy of formation from the pure elements, kJ/mol of formula units: 121
SG: I-42d (122)
ρ, g/cm3: 10.12
Size of the total moment, μB/f.u.: 0.0

(2)
## PmGaPd (PBE-GGA)

Data for a relaxed PmGaPd crystal.

Unit cell a=3.474 b=3.474 c=5.728 alpha=107.65 beta=107.65 gamma=90.00
Atoms (fractional coordinates):
Pd 0.982 0.982 0.963
Ga 0.587 0.587 0.174
Pm 0.281 0.281 0.563

Excess energy over the best structure of this formula in the dataset, meV per atom: 212
Energy of formation from the pure elements, kJ/mol of formula units: -185
SG: I4mm (107)
ρ, g/cm3: 8.54
Size of the total moment, μB/f.u.: 0.0

(3)
## Gd3AsO7 (PBE-GGA)

Data for a relaxed Gd3AsO7 crystal.

Unit cell a=6.349 b=6.488 c=7.481 alpha=106.43 beta=89.97 gamma=98.83
Each line ends with the local moment (μB).
Atoms (fractional coordinates):
Gd 0.742 0.474 0.123  6.92
Gd 0.755 0.526 0.630  6.92
Gd 0.541 0.006 0.747  6.92
Gd 0.459 0.994 0.253  6.92
Gd 0.245 0.474 0.370  6.92
Gd 0.258 0.526 0.877  6.92
As 0.000 0.000 0.000  0.01
As 0.000 0.000 0.500  0.01
O 0.720 0.999 0.465  0.01
O 0.930 0.700 0.958  0.00
O 0.722 0.048 0.040  0.00
O 0.961 0.685 0.395  0.00
O 0.913 0.935 0.734  0.00
O 0.571 0.367 0.835  0.01
O 0.567 0.358 0.350  0.01
O 0.433 0.642 0.650  0.01
O 0.429 0.633 0.165  0.01
O 0.087 0.065 0.266  0.00
O 0.039 0.315 0.605  0.00
O 0.278 0.952 0.960  0.00
O 0.070 0.300 0.042  0.00
O 0.280 0.001 0.535  0.01

Excess energy over the best structure of this formula in the dataset, meV per atom: 19
SG: P-1 (2)
ρ, g/cm3: 7.50
Size of the total moment, μB/f.u.: 21.0
Raw formation energy, meV/atom: -2804

(4)
## Sm4IrSe2S (PBE-GGA)

Data for a relaxed Sm4IrSe2S crystal.

Unit cell a=4.080 b=7.291 c=7.222 alpha=71.13 beta=90.00 gamma=90.00
Atoms (fractional coordinates):
Sm 0.000 0.727 0.766
Sm 0.000 0.273 0.234
Sm 0.500 0.733 0.251
Sm 0.500 0.267 0.749
Ir 0.500 0.500 0.000
Se 0.000 0.000 0.000
Se 0.500 0.000 0.500
S 0.000 0.500 0.500

SG: P2/m (10)
ρ, g/cm3: 8.04
Size of the total moment, μB/f.u.: 0.0
Raw formation energy, meV/atom: -1581

(5)
## CsGa2HgI8 (PBE-GGA)

Data for a relaxed CsGa2HgI8 crystal.

Unit cell a=7.649 b=7.649 c=11.194 alpha=90.00 beta=90.00 gamma=120.00
Atoms (fractional coordinates):
Cs 0.000 0.000 0.000
Ga 0.667 0.333 0.238
Ga 0.333 0.667 0.762
Hg 0.000 0.000 0.500
I 0.333 0.667 0.993
I 0.344 0.332 0.312
I 0.668 0.011 0.312
I 0.667 0.333 0.007
I 0.332 0.989 0.688
I 0.656 0.668 0.688
I 0.011 0.344 0.688
I 0.989 0.656 0.312

SG: P-3 (147)
ρ, g/cm3: 4.36
Size of the total moment, μB/f.u.: 0.0
Raw formation energy, meV/atom: -608

(6)
## YScHgGe (PBE-GGA)

Data for a relaxed YScHgGe crystal.

Unit cell a=5.028 b=5.028 c=5.028 alpha=60.00 beta=60.00 gamma=60.00
Atoms (fractional coordinates):
Y 0.000 0.000 0.000
Sc 0.500 0.500 0.500
Ge 0.250 0.250 0.250
Hg 0.750 0.750 0.750

Energy of formation from the pure elements, kJ/mol of formula units: -203
SG: F-43m (216)
ρ, g/cm3: 7.52
Size of the total moment, μB/f.u.: 0.0

(7)
## BeBi2F (PBE-GGA)

Data for a relaxed BeBi2F crystal.

Unit cell a=4.768 b=4.768 c=4.768 alpha=60.00 beta=60.00 gamma=60.00
Atoms (fractional coordinates):
Be 0.000 0.000 0.000
Bi 0.250 0.250 0.250
Bi 0.750 0.750 0.750
F 0.500 0.500 0.500

Excess energy over the best structure of this formula in the dataset, meV per atom: 0
SG: Fm-3m (225)
ρ, g/cm3: 9.66
Size of the total moment, μB/f.u.: 0.0
Raw formation energy, meV/atom: -356

(8)
## BaAlCd3 (PBE-GGA)

Data for a relaxed BaAlCd3 crystal.

Unit cell a=5.342 b=5.342 c=5.342 alpha=90.00 beta=90.00 gamma=90.00
Atoms (fractional coordinates):
Al 0.000 0.000 0.000
Ba 0.500 0.500 0.500
Cd 0.000 0.500 0.000
Cd 0.000 0.000 0.500
Cd 0.500 0.000 0.000

Excess energy over the best structure of this formula in the dataset, meV per atom: 214
Energy of formation from the pure elements, kJ/mol of formula units: -18
SG: Pm-3m (221)
ρ, g/cm3: 5.46
Size of the total moment, μB/f.u.: 0.0

(9)
## NpP3Pd5 (PBE-GGA)

Data for a relaxed NpP3Pd5 crystal.

Unit cell a=3.967 b=6.764 c=11.762 alpha=90.00 beta=90.00 gamma=107.05
Each line ends with the local moment (μB).
Atoms (fractional coordinates):
Np 0.886 0.771 0.750  3.79
Np 0.114 0.229 0.250  3.79
P 0.406 0.811 0.922  -0.03
P 0.866 0.732 0.250  0.00
P 0.406 0.811 0.578  -0.03
P 0.594 0.189 0.422  -0.03
P 0.134 0.268 0.750  0.00
P 0.594 0.189 0.078  -0.03
Pd 0.771 0.542 0.421  0.00
Pd 0.229 0.458 0.921  0.00
Pd 0.000 0.000 0.500  0.03
Pd 0.000 0.000 0.000  0.03
Pd 0.411 0.821 0.135  0.00
Pd 0.589 0.179 0.865  0.00
Pd 0.589 0.179 0.635  0.00
Pd 0.771 0.542 0.079  0.00
Pd 0.229 0.458 0.579  0.00
Pd 0.411 0.821 0.365  0.00

Energy of formation from the pure elements, kJ/mol of formula units: -415
SG: Cmcm (63)
ρ, g/cm3: 9.49
Size of the total moment, μB/f.u.: 4.0

(10)
## Ce4Zn2C (PBE-GGA)

Data for a relaxed Ce4Zn2C crystal.

Unit cell a=4.958 b=4.958 c=8.025 alpha=72.01 beta=72.01 gamma=90.00
Each line ends with the local moment (μB).
Atoms (fractional coordinates):
Zn 0.625 0.625 0.750  0.00
Zn 0.375 0.375 0.250  0.00
C 0.000 0.000 0.000  -0.05
Ce 0.828 0.828 0.344  0.75
Ce 0.172 0.172 0.656  0.75
Ce 0.000 0.500 0.000  0.36
Ce 0.500 0.000 0.000  0.36

Energy of formation from the pure elements, kJ/mol of formula units: -56
SG: I4/mmm (139)
ρ, g/cm3: 6.58
Size of the total moment, μB/f.u.: 2.6

(11)
## LiPr3Ho2Te6 (PBE-GGA)

Data for a relaxed LiPr3Ho2Te6 crystal.

Unit cell a=4.408 b=8.885 c=9.923 alpha=103.70 beta=102.83 gamma=90.00
Atoms (fractional coordinates):
Li 0.500 0.000 0.000
Pr 0.500 0.500 0.000
Pr 0.834 0.171 0.669
Pr 0.166 0.829 0.331
Ho 0.835 0.665 0.669
Ho 0.165 0.335 0.331
Te 0.339 0.910 0.678
Te 0.670 0.575 0.340
Te 0.661 0.090 0.322
Te 0.004 0.234 0.007
Te 0.996 0.766 0.993
Te 0.330 0.425 0.660

SG: C2/m (12)
ρ, g/cm3: 6.89
Size of the total moment, μB/f.u.: 0.0
Raw formation energy, meV/atom: -1356

(12)
## KCa2Ta (PBE-GGA)

Data for a relaxed KCa2Ta crystal.

Unit cell a=6.351 b=6.351 c=6.555 alpha=82.91 beta=82.91 gamma=29.95
Each line ends with the local moment (μB).
Atoms (fractional coordinates):
Ca 0.984 0.984 0.043  0.04
Ca 0.750 0.750 0.755  0.03
K 0.511 0.511 0.506  0.00
Ta 0.255 0.255 0.196  0.83

Excess energy over the best structure of this formula in the dataset, meV per atom: 308
Energy of formation from the pure elements, kJ/mol of formula units: 365
SG: Cm (8)
ρ, g/cm3: 3.81
Size of the total moment, μB/f.u.: 1.6